This record from Alexandria describes crystalline Be2AlTl at its relaxed geometry. The functional is PBE.

- space group = Cmmm (65)
- ΔE to the lowest computed polymorph (meV per atom) = 373
- energy of formation (eV/atom) = 0.669

Cell lengths 5.4305, 7.6244, 3.0168 Å; angles 90.00, 90.00, 90.00 degrees
Fractional coordinates of all 8 atoms:
Be1 0.2500 0.2500 0.0000
Be2 0.2500 0.7500 0.0000
Be3 0.7500 0.2500 0.0000
Be4 0.7500 0.7500 0.0000
Al1 0.0000 0.0000 0.5000
Al2 0.5000 0.5000 0.5000
Tl1 0.0000 0.5000 0.5000
Tl2 0.5000 0.0000 0.5000

This record from Alexandria describes crystalline Be2AlTl at its relaxed geometry. The functional is PBE.

- space group = Cmm2 (35)
- ΔE to the lowest computed polymorph (meV per atom) = 202
- energy of formation (eV/atom) = 0.498

Cell lengths 4.1116, 4.2616, 7.4353 Å; angles 90.00, 90.00, 90.00 degrees
Fractional coordinates of all 8 atoms:
Be1 0.0000 0.0000 0.0000
Be2 0.0000 0.5000 0.1265
Be3 0.5000 0.0000 0.1265
Be4 0.5000 0.5000 0.0000
Al1 0.0000 0.5000 0.7910
Al2 0.5000 0.0000 0.7910
Tl1 0.0000 0.0000 0.4242
Tl2 0.5000 0.5000 0.4242

This record from Alexandria describes crystalline BeAlTl2 at its relaxed geometry. The functional is PBE.

- space group = Cmmm (65)
- ΔE to the lowest computed polymorph (meV per atom) = 261
- energy of formation (eV/atom) = 0.625

Cell lengths 6.5181, 8.2006, 3.2982 Å; angles 90.00, 90.00, 90.00 degrees
Fractional coordinates of all 8 atoms:
Be1 0.0000 0.0000 0.0000
Be2 0.5000 0.5000 0.0000
Al1 0.0000 0.5000 0.0000
Al2 0.5000 0.0000 0.0000
Tl1 0.2500 0.2500 0.5000
Tl2 0.2500 0.7500 0.5000
Tl3 0.7500 0.2500 0.5000
Tl4 0.7500 0.7500 0.5000

This record from Alexandria describes crystalline BeAlTl2 at its relaxed geometry. The functional is PBE.

- space group = C2/m (12)
- ΔE to the lowest computed polymorph (meV per atom) = 186
- energy of formation (eV/atom) = 0.550

Cell lengths 8.0540, 3.4160, 6.5500 Å; angles 90.00, 104.22, 90.00 degrees
Fractional coordinates of all 8 atoms:
Be1 0.0000 0.0000 0.0000
Be2 0.5000 0.5000 0.0000
Al1 0.0000 0.5000 0.5000
Al2 0.5000 0.0000 0.5000
Tl1 0.2356 0.5000 0.2177
Tl2 0.2644 0.0000 0.7823
Tl3 0.7356 0.0000 0.2177
Tl4 0.7644 0.5000 0.7823

This record from Alexandria describes crystalline BeAlTl2 at its relaxed geometry. The functional is PBE.

- space group = F-43m (216)
- ΔE to the lowest computed polymorph (meV per atom) = 333
- energy of formation (eV/atom) = 0.697

Cell lengths 7.1648, 7.1648, 7.1648 Å; angles 90.00, 90.00, 90.00 degrees
Fractional coordinates of all 16 atoms:
Be1 0.0000 0.0000 0.0000
Be2 0.0000 0.5000 0.5000
Be3 0.5000 0.0000 0.5000
Be4 0.5000 0.5000 0.0000
Al1 0.2500 0.2500 0.2500
Al2 0.2500 0.7500 0.7500
Al3 0.7500 0.2500 0.7500
Al4 0.7500 0.7500 0.2500
Tl1 0.0000 0.0000 0.5000
Tl2 0.0000 0.5000 0.0000
Tl3 0.2500 0.2500 0.7500
Tl4 0.2500 0.7500 0.2500
Tl5 0.5000 0.0000 0.0000
Tl6 0.5000 0.5000 0.5000
Tl7 0.7500 0.2500 0.2500
Tl8 0.7500 0.7500 0.7500

This record from Alexandria describes crystalline Be2AlTl at its relaxed geometry. The functional is PBE.

- space group = P4/mmm (123)
- ΔE to the lowest computed polymorph (meV per atom) = 381
- energy of formation (eV/atom) = 0.677

Cell lengths 4.0539, 4.0539, 3.7741 Å; angles 90.00, 90.00, 90.00 degrees
Fractional coordinates of all 4 atoms:
Be1 0.0000 0.5000 0.0000
Be2 0.5000 0.0000 0.0000
Al1 0.0000 0.0000 0.5000
Tl1 0.5000 0.5000 0.5000

This record from Alexandria describes crystalline BeAlTl2 at its relaxed geometry. The functional is PBE.

- space group = Cm (8)
- ΔE to the lowest computed polymorph (meV per atom) = 93
- energy of formation (eV/atom) = 0.457

Cell lengths 13.1807, 3.2122, 4.5033 Å; angles 90.00, 109.79, 90.00 degrees
Fractional coordinates of all 8 atoms:
Be1 0.0000 0.0000 0.0000
Be2 0.5000 0.5000 0.0000
Al1 0.1558 0.5000 0.1557
Al2 0.6558 0.0000 0.1557
Tl1 0.2815 0.0000 0.7826
Tl2 0.4889 0.0000 0.4895
Tl3 0.7815 0.5000 0.7826
Tl4 0.9889 0.5000 0.4895

This record from Alexandria describes crystalline BeAl3Tl at its relaxed geometry. The functional is PBE.

- space group = Pm-3m (221)
- ΔE to the lowest computed polymorph (meV per atom) = 0
- energy of formation (eV/atom) = 0.398

Cell lengths 4.5965, 4.5965, 4.5965 Å; angles 90.00, 90.00, 90.00 degrees
Fractional coordinates of all 5 atoms:
Be1 0.0000 0.0000 0.0000
Al1 0.0000 0.0000 0.5000
Al2 0.0000 0.5000 0.0000
Al3 0.5000 0.0000 0.0000
Tl1 0.5000 0.5000 0.5000

This record from Alexandria describes crystalline Be2AlTl at its relaxed geometry. The functional is PBE.

- space group = P6mm (183)
- ΔE to the lowest computed polymorph (meV per atom) = 0
- energy of formation (eV/atom) = 0.296

Cell lengths 3.7758, 3.7758, 5.7263 Å; angles 90.00, 90.00, 120.00 degrees
Fractional coordinates of all 4 atoms:
Be1 0.3333 0.6667 0.0000
Be2 0.6667 0.3333 0.0000
Al1 0.0000 0.0000 0.1808
Tl1 0.0000 0.0000 0.6613

This record from Alexandria describes crystalline BeAlTl2 at its relaxed geometry. The functional is PBE.

- space group = R-3m (166)
- ΔE to the lowest computed polymorph (meV per atom) = 178
- energy of formation (eV/atom) = 0.542

Cell lengths 3.4502, 3.4502, 25.1202 Å; angles 90.00, 90.00, 120.00 degrees
Fractional coordinates of all 12 atoms:
Be1 0.0000 0.0000 0.0000
Be2 0.3333 0.6667 0.6667
Be3 0.6667 0.3333 0.3333
Al1 0.0000 0.0000 0.5000
Al2 0.3333 0.6667 0.1667
Al3 0.6667 0.3333 0.8333
Tl1 0.0000 0.0000 0.2596
Tl2 0.0000 0.0000 0.7403
Tl3 0.3333 0.6667 0.4070
Tl4 0.3333 0.6667 0.9263
Tl5 0.6667 0.3333 0.0737
Tl6 0.6667 0.3333 0.5930

This record from Alexandria describes crystalline BeAlTl at its relaxed geometry. The functional is PBE.

- space group = C2 (5)
- energy of formation (eV/atom) = 0.146

Cell lengths 6.3529, 3.6699, 10.3443 Å; angles 90.00, 101.08, 90.00 degrees
Fractional coordinates of all 12 atoms:
Be1 0.1676 0.0000 0.0032
Be2 0.3324 0.5000 0.9968
Be3 0.6676 0.5000 0.0032
Be4 0.8324 0.0000 0.9968
Al1 0.0413 0.4997 0.1317
Al2 0.4587 0.9997 0.8683
Al3 0.5413 0.9997 0.1317
Al4 0.9587 0.4997 0.8683
Tl1 0.2191 0.4974 0.6419
Tl2 0.2809 0.9974 0.3581
Tl3 0.7191 0.9974 0.6419
Tl4 0.7809 0.4974 0.3581

This record from Alexandria describes crystalline BeAlTl at its relaxed geometry. The functional is PBE.

- space group = P1 (1)
- energy of formation (eV/atom) = 0.250

Cell lengths 3.2974, 3.6096, 10.0012 Å; angles 89.70, 82.16, 86.51 degrees
Fractional coordinates of all 6 atoms:
Be1 0.0000 0.0000 0.0000
Be2 0.0511 0.4986 0.8794
Al1 0.4735 0.5010 0.0629
Al2 0.5772 0.9977 0.8163
Tl1 0.2092 0.5013 0.5818
Tl2 0.8340 0.9990 0.2973

This record from Alexandria describes crystalline Be2AlTl at its relaxed geometry. The functional is PBE.

- space group = R-3m (166)
- ΔE to the lowest computed polymorph (meV per atom) = 292
- energy of formation (eV/atom) = 0.588

Cell lengths 3.0565, 3.0565, 23.8419 Å; angles 90.00, 90.00, 120.00 degrees
Fractional coordinates of all 12 atoms:
Be1 0.0000 0.0000 0.2447
Be2 0.0000 0.0000 0.7553
Be3 0.3333 0.6667 0.4220
Be4 0.3333 0.6667 0.9113
Be5 0.6667 0.3333 0.0887
Be6 0.6667 0.3333 0.5780
Al1 0.0000 0.0000 0.5000
Al2 0.3333 0.6667 0.1667
Al3 0.6667 0.3333 0.8333
Tl1 0.0000 0.0000 0.0000
Tl2 0.3333 0.6667 0.6667
Tl3 0.6667 0.3333 0.3333

This record from Alexandria describes crystalline BeAlTlW2 at its relaxed geometry. The functional is PBE.

- space group = P4/mmm (123)
- energy of formation (eV/atom) = 1.129

Cell lengths 4.3640, 4.3640, 4.4362 Å; angles 90.00, 90.00, 90.00 degrees
Fractional coordinates of all 5 atoms:
Be1 0.0000 0.0000 0.0000
Al1 0.5000 0.5000 0.5000
Tl1 0.0000 0.0000 0.5000
W1 0.0000 0.5000 0.0000
W2 0.5000 0.0000 0.0000

This record from Alexandria describes crystalline TmBe17Al at its relaxed geometry. The functional is PBE.

- space group = R3m (160)
- energy of formation (eV/atom) = -0.032

Cell lengths 5.6790, 5.6790, 5.6790 Å; angles 83.26, 83.26, 83.26 degrees
Fractional coordinates of all 19 atoms:
Tm1 0.0000 0.0000 0.0000
Be1 0.1532 0.6626 0.6626
Be2 0.3169 0.3169 0.8098
Be3 0.3169 0.8098 0.3169
Be4 0.3688 0.6525 0.9480
Be5 0.3688 0.9480 0.6525
Be6 0.4993 0.9981 0.9981
Be7 0.5542 0.5542 0.5542
Be8 0.6525 0.3688 0.9480
Be9 0.6525 0.9480 0.3688
Be10 0.6626 0.1532 0.6626
Be11 0.6626 0.6626 0.1532
Be12 0.7527 0.7527 0.7527
Be13 0.8098 0.3169 0.3169
Be14 0.9480 0.3688 0.6525
Be15 0.9480 0.6525 0.3688
Be16 0.9981 0.4993 0.9981
Be17 0.9981 0.9981 0.4993
Al1 0.3038 0.3038 0.3038

This record from Alexandria describes crystalline Tm2BeAl at its relaxed geometry. The functional is PBE.

- space group = R-3m (166)
- ΔE to the lowest computed polymorph (meV per atom) = 748
- energy of formation (eV/atom) = 0.569

Cell lengths 3.3176, 3.3176, 30.9893 Å; angles 90.00, 90.00, 120.00 degrees
Fractional coordinates of all 12 atoms:
Tm1 0.0000 0.0000 0.0924
Tm2 0.0000 0.0000 0.9076
Tm3 0.3333 0.6667 0.5743
Tm4 0.3333 0.6667 0.7590
Tm5 0.6667 0.3333 0.2410
Tm6 0.6667 0.3333 0.4257
Be1 0.0000 0.0000 0.0000
Be2 0.3333 0.6667 0.6667
Be3 0.6667 0.3333 0.3333
Al1 0.0000 0.0000 0.5000
Al2 0.3333 0.6667 0.1667
Al3 0.6667 0.3333 0.8333

This record from Alexandria describes crystalline TmBeAl2 at its relaxed geometry. The functional is PBE.

- space group = R-3m (166)
- energy of formation (eV/atom) = -0.183

Cell lengths 4.0151, 4.0151, 15.7155 Å; angles 90.00, 90.00, 120.00 degrees
Fractional coordinates of all 12 atoms:
Tm1 0.0000 0.0000 0.0000
Tm2 0.3333 0.6667 0.6667
Tm3 0.6667 0.3333 0.3333
Be1 0.0000 0.0000 0.5000
Be2 0.3333 0.6667 0.1667
Be3 0.6667 0.3333 0.8333
Al1 0.0000 0.0000 0.2110
Al2 0.0000 0.0000 0.7890
Al3 0.3333 0.6667 0.4557
Al4 0.3333 0.6667 0.8777
Al5 0.6667 0.3333 0.1223
Al6 0.6667 0.3333 0.5443

This record from Alexandria describes crystalline Tm2BeAl at its relaxed geometry. The functional is PBE.

- space group = P4/mmm (123)
- ΔE to the lowest computed polymorph (meV per atom) = 0
- energy of formation (eV/atom) = -0.179

Cell lengths 3.4193, 3.4193, 7.0489 Å; angles 90.00, 90.00, 90.00 degrees
Fractional coordinates of all 4 atoms:
Tm1 0.0000 0.0000 0.2301
Tm2 0.0000 0.0000 0.7699
Be1 0.5000 0.5000 0.0000
Al1 0.5000 0.5000 0.5000

This record from Alexandria describes crystalline TmBe2Al at its relaxed geometry. The functional is PBE.

- space group = R-3m (166)
- energy of formation (eV/atom) = -0.038

Cell lengths 4.3468, 4.3468, 10.6768 Å; angles 90.00, 90.00, 120.00 degrees
Fractional coordinates of all 12 atoms:
Tm1 0.0000 0.0000 0.0000
Tm2 0.3333 0.6667 0.6667
Tm3 0.6667 0.3333 0.3333
Be1 0.0000 0.0000 0.2492
Be2 0.0000 0.0000 0.7508
Be3 0.3333 0.6667 0.4175
Be4 0.3333 0.6667 0.9159
Be5 0.6667 0.3333 0.0841
Be6 0.6667 0.3333 0.5825
Al1 0.0000 0.0000 0.5000
Al2 0.3333 0.6667 0.1667
Al3 0.6667 0.3333 0.8333

This record from Alexandria describes crystalline TmBeAl3 at its relaxed geometry. The functional is PBE.

- space group = Cmmm (65)
- energy of formation (eV/atom) = -0.222

Cell lengths 11.6151, 11.6151, 3.8996 Å; angles 90.00, 90.00, 159.86 degrees
Fractional coordinates of all 10 atoms:
Tm1 0.1649 0.8351 0.0000
Tm2 0.8351 0.1649 0.0000
Be1 0.3822 0.6178 0.5000
Be2 0.6178 0.3822 0.5000
Al1 0.0583 0.9417 0.5000
Al2 0.2816 0.7184 0.5000
Al3 0.4419 0.5581 0.0000
Al4 0.5581 0.4419 0.0000
Al5 0.7184 0.2816 0.5000
Al6 0.9417 0.0583 0.5000

For each record above, in turn, the calculated volume values are 124.9; 130.3; 176.3; 174.7; 367.8; 62.0; 179.4; 97.1; 70.7; 259.0; 236.7; 117.7; 192.9; 84.5; 179.6; 295.4; 219.4; 82.4; 174.7; 181.2 Å³/cell.